# 1
Below is a PBEsol-optimized structure of Sc4BeP, with properties calculated at the SCAN level.

Results
* magnetic moment: 0.0 μB per formula unit
* ρ: 3.12 g/cm³
* DOS(E_F): 23.45 states/eV per cell
* E: -272.99 eV for the cell shown

Lattice parameters (Å, degrees): 7.763 7.763 7.763 90.00 90.00 90.00
Space group F-43m (No. 216)
One atom of each set of equivalent atoms:
Sc 0.125 0.125 0.125 x16
Be 0.250 0.250 0.750 x4
P 0.000 0.000 0.500 x4

---

# 2
Below is a PBEsol-optimized structure of MgNb2TlTc, with properties calculated at the SCAN level.

Results
* magnetic moment: 0.0 μB per formula unit
* ρ: 8.48 g/cm³
* DOS(E_F): 3.36 states/eV per cell
* E: -170.59 eV for the cell shown

Lattice parameters (Å, degrees): 4.735 4.735 4.475 90.00 90.00 90.00
Space group P4/mmm (No. 123)
One atom of each set of equivalent atoms:
Mg 0.000 0.000 0.000 x1
Nb 0.000 0.500 0.000 x2
Tl 0.500 0.500 0.500 x1
Tc 0.000 0.000 0.500 x1

---

# 3
Below is a PBEsol-optimized structure of Cr3P, with properties calculated at the SCAN level.

Results
* magnetic moment: 0.0 μB per formula unit
* ρ: 6.93 g/cm³
* DOS(E_F): 27.02 states/eV per cell
* energy above the most stable polymorph in this dataset: 23 meV/atom
* E: -534.52 eV for the cell shown

Lattice parameters (Å, degrees): 8.986 8.986 4.438 90.00 90.00 90.00
Space group I-4 (No. 82)
One atom of each set of equivalent atoms:
Cr 0.029 0.142 0.251 x8
Cr 0.076 0.601 0.485 x8
Cr 0.167 0.722 0.021 x8
P 0.044 0.210 0.746 x8

---

# 4
Below is a PBEsol-optimized structure of SrYP2, with properties calculated at the SCAN level.

Results
* magnetic moment: 0.0 μB per formula unit
* ρ: 4.42 g/cm³
* DOS(E_F): 2.22 states/eV per cell
* energy above the most stable polymorph in this dataset: 23 meV/atom
* E: -74.83 eV for the cell shown

Lattice parameters (Å, degrees): 3.681 4.584 5.306 90.00 90.00 90.00
Space group Pmmm (No. 47)
One atom of each set of equivalent atoms:
Sr 0.000 0.000 0.000 x1
Y 0.000 0.500 0.500 x1
P 0.500 0.000 0.500 x1
P 0.500 0.500 0.000 x1

---

# 5
Below is a PBEsol-optimized structure of TiNb, with properties calculated at the SCAN level.

Results
* magnetic moment: 0.0 μB per formula unit
* ρ: 6.90 g/cm³
* DOS(E_F): 6.17 states/eV per cell
* E: -98.17 eV for the cell shown

Lattice parameters (Å, degrees): 3.230 4.611 4.552 90.00 90.00 90.00
Space group Cmmm (No. 65)
One atom of each set of equivalent atoms:
Ti 0.000 0.000 0.000 x2
Nb 0.000 0.500 0.500 x2

---

# 6
Below is a PBEsol-optimized structure of ScMo3O, with properties calculated at the SCAN level.

Results
* magnetic moment: 0.0 μB per formula unit
* ρ: 6.31 g/cm³
* DOS(E_F): 5.70 states/eV per cell
* formation energy (no corrections): 2.76 eV per atom
* E: -111.34 eV for the cell shown

Lattice parameters (Å, degrees): 4.511 4.511 4.511 90.00 90.00 90.00
Space group Pm-3m (No. 221)
One atom of each set of equivalent atoms:
Sc 0.000 0.000 0.000 x1
Mo 0.000 0.000 0.500 x3
O 0.500 0.500 0.500 x1

---

# 7
Below is a PBEsol-optimized structure of Li2VP4O12, with properties calculated at the SCAN level.

Results
* magnetic moment: 3.0 μB per formula unit
* ρ: 2.92 g/cm³
* DOS(E_F): 0.00 states/eV per cell
* formation energy (no corrections): -2.48 eV per atom
* E: -743.15 eV for the cell shown

Lattice parameters (Å, degrees): 9.227 10.027 9.355 90.00 90.24 90.00
Space group P2_1/c (No. 14)
One atom of each set of equivalent atoms:
Li 0.099 0.173 0.008 x4
Li 0.399 0.169 0.005 x4
V 0.250 0.697 0.514 x4
P 0.041 0.616 0.791 x4
P 0.250 0.107 0.307 x4
P 0.250 0.514 0.228 x4
P 0.460 0.615 0.792 x4
O 0.066 0.625 0.632 x4
O 0.076 0.733 0.885 x4
O 0.115 0.016 0.354 x4
O 0.123 0.085 0.678 x4
O 0.249 0.635 0.138 x4
O 0.250 0.126 0.149 x4
O 0.250 0.225 0.404 x4
O 0.253 0.523 0.389 x4
O 0.376 0.085 0.676 x4
O 0.386 0.017 0.354 x4
O 0.424 0.732 0.887 x4
O 0.435 0.625 0.633 x4

---

# 8
Below is a PBEsol-optimized structure of Sc2ReW, with properties calculated at the SCAN level.

Results
* magnetic moment: 0.0 μB per formula unit
* ρ: 11.10 g/cm³
* DOS(E_F): 3.40 states/eV per cell
* energy above the most stable polymorph in this dataset: 302 meV/atom
* E: -168.38 eV for the cell shown

Lattice parameters (Å, degrees): 2.723 4.658 5.425 90.00 90.00 90.00
Space group Pmmm (No. 47)
One atom of each set of equivalent atoms:
Sc 0.000 0.000 0.247 x2
Re 0.500 0.500 0.000 x1
W 0.500 0.500 0.500 x1

---

# 9
Below is a PBEsol-optimized structure of YCd2In, with properties calculated at the SCAN level.

Results
* magnetic moment: 0.0 μB per formula unit
* ρ: 7.80 g/cm³
* DOS(E_F): 2.34 states/eV per cell
* E: -123.83 eV for the cell shown

Lattice parameters (Å, degrees): 4.468 4.468 4.571 90.00 90.00 90.00
Space group P4/mmm (No. 123)
One atom of each set of equivalent atoms:
Y 0.000 0.000 0.000 x1
Cd 0.000 0.500 0.500 x2
In 0.500 0.500 0.000 x1

---

# 10
Below is a PBEsol-optimized structure of Sb2TeCl, with properties calculated at the SCAN level.

Results
* magnetic moment: 0.0 μB per formula unit
* ρ: 6.73 g/cm³
* DOS(E_F): 4.33 states/eV per cell
* formation energy (no corrections): 0.06 eV per atom
* energy above the most stable polymorph in this dataset: 174 meV/atom
* E: -239.01 eV for the cell shown

Lattice parameters (Å, degrees): 3.713 5.343 10.107 90.00 90.00 90.00
Space group Cmm2 (No. 35)
One atom of each set of equivalent atoms:
Sb 0.000 0.000 0.000 x2
Sb 0.000 0.500 0.253 x2
Te 0.000 0.000 0.512 x2
Cl 0.000 0.500 0.791 x2

---

# 11
Below is a PBEsol-optimized structure of TeRuW2, with properties calculated at the SCAN level.

Results
* magnetic moment: 0.0 μB per formula unit
* ρ: 15.29 g/cm³
* DOS(E_F): 6.34 states/eV per cell
* formation energy (no corrections): 0.58 eV per atom
* E: -418.29 eV for the cell shown

Lattice parameters (Å, degrees): 3.176 4.446 9.169 90.00 90.00 90.00
Space group Immm (No. 71)
One atom of each set of equivalent atoms:
Te 0.000 0.000 0.000 x2
Ru 0.000 0.000 0.500 x2
W 0.000 0.500 0.261 x4

---

# 12
Below is a PBEsol-optimized structure of Cu2Te, with properties calculated at the SCAN level.

Results
* magnetic moment: 0.0 μB per formula unit
* ρ: 6.60 g/cm³
* DOS(E_F): 2.07 states/eV per cell
* formation energy (no corrections): 0.09 eV per atom
* E: -134.76 eV for the cell shown

Lattice parameters (Å, degrees): 4.2118 4.2118 8.3393 90.00 90.00 120.00
Space group P6/mmm (No. 191)
One atom of each set of equivalent atoms:
Cu 0.3333 0.6667 0.1500 x4
Te 0.0000 0.0000 0.2708 x2

---

# 13
Below is a PBEsol-optimized structure of LiFeAs2, with properties calculated at the SCAN level.

Results
* magnetic moment: 2.5 μB per formula unit
* ρ: 6.28 g/cm³
* DOS(E_F): 2.39 states/eV per cell
* energy above the most stable polymorph in this dataset: 24 meV/atom
* E: -61.06 eV for the cell shown

Lattice parameters (Å, degrees): 4.101 4.101 3.341 90.00 90.00 90.00
Space group P4/mmm (No. 123)
One atom of each set of equivalent atoms:
Li 0.000 0.000 0.000 x1
Fe 0.500 0.500 0.000 x1
As 0.000 0.500 0.500 x2

---

# 14
Below is a PBEsol-optimized structure of FeCo3, with properties calculated at the SCAN level.

Results
* magnetic moment: 8.4 μB per formula unit
* ρ: 9.03 g/cm³
* DOS(E_F): 11.30 states/eV per cell
* E: -281.75 eV for the cell shown

Lattice parameters (Å, degrees): 2.773 3.923 15.727 90.00 90.00 90.00
Space group Immm (No. 71)
One atom of each set of equivalent atoms:
Fe 0.000 0.000 0.124 x4
Co 0.000 0.000 0.374 x4
Co 0.000 0.500 0.000 x2
Co 0.000 0.500 0.254 x4
Co 0.000 0.500 0.500 x2

---

# 15
Below is a PBEsol-optimized structure of AlCdPt2, with properties calculated at the SCAN level.

Results
* magnetic moment: 0.0 μB per formula unit
* ρ: 13.91 g/cm³
* DOS(E_F): 4.49 states/eV per cell
* E: -543.46 eV for the cell shown

Lattice parameters (Å, degrees): 2.9176 2.9176 25.7171 90.00 90.00 120.00
Space group R-3m (No. 166, hexagonal axes)
One atom of each set of equivalent atoms:
Al 0.0000 0.0000 0.0000 x3
Cd 0.0000 0.0000 0.5000 x3
Pt 0.0000 0.0000 0.2594 x6

---

# 16
Below is a PBEsol-optimized structure of KBe2Os, with properties calculated at the SCAN level.

Results
* magnetic moment: 0.0 μB per formula unit
* ρ: 5.81 g/cm³
* DOS(E_F): 1.95 states/eV per cell
* E: -174.35 eV for the cell shown

Lattice parameters (Å, degrees): 7.822 2.908 6.363 90.00 102.23 90.00
Space group C2/m (No. 12)
One atom of each set of equivalent atoms:
K 0.000 0.000 0.000 x2
Be 0.221 0.000 0.603 x4
Os 0.000 0.500 0.500 x2

---

# 17
Below is a PBEsol-optimized structure of Fe2CoSi, with properties calculated at the SCAN level.

Results
* magnetic moment: 5.1 μB per formula unit
* ρ: 7.80 g/cm³
* DOS(E_F): 1.08 states/eV per cell
* formation energy (no corrections): -0.31 eV per atom
* E: -64.81 eV for the cell shown

Lattice parameters (Å, degrees): 2.792 2.792 5.429 90.00 90.00 90.00
Space group P4mm (No. 99)
One atom of each set of equivalent atoms:
Fe 0.000 0.000 0.000 x1
Fe 0.500 0.500 0.253 x1
Co 0.500 0.500 0.737 x1
Si 0.000 0.000 0.494 x1

---

# 18
Below is a PBEsol-optimized structure of KLa2Zn, with properties calculated at the SCAN level.

Results
* magnetic moment: 0.0 μB per formula unit
* ρ: 5.19 g/cm³
* DOS(E_F): 5.34 states/eV per cell
* E: -106.87 eV for the cell shown

Lattice parameters (Å, degrees): 5.130 5.130 4.652 90.00 90.00 90.00
Space group P4/mmm (No. 123)
One atom of each set of equivalent atoms:
K 0.000 0.000 0.000 x1
La 0.000 0.500 0.500 x2
Zn 0.500 0.500 0.000 x1

---

# 19
Below is a PBEsol-optimized structure of KCuP2Se5, with properties calculated at the SCAN level.

Results
* magnetic moment: 0.0 μB per formula unit
* ρ: 4.10 g/cm³
* formation energy (no corrections): -0.43 eV per atom
* E: -594.49 eV for the cell shown

Lattice parameters (Å, degrees): 10.984 7.674 13.047 90.00 124.49 90.00
Space group P2_1/c (No. 14)
One atom of each set of equivalent atoms:
K 0.125 0.143 0.202 x4
Cu 0.361 0.658 0.162 x4
P 0.304 0.657 0.408 x4
P 0.326 0.064 0.032 x4
Se 0.113 0.192 0.939 x4
Se 0.193 0.574 0.217 x4
Se 0.209 0.620 0.944 x4
Se 0.429 0.538 0.723 x4
Se 0.461 0.239 0.504 x4

---

# 20
Below is a PBEsol-optimized structure of TaBeOs2, with properties calculated at the SCAN level.

Results
* magnetic moment: 0.0 μB per formula unit
* ρ: 17.42 g/cm³
* DOS(E_F): 7.30 states/eV per cell
* E: -643.92 eV for the cell shown

Lattice parameters (Å, degrees): 2.8156 2.8156 23.7612 90.00 90.00 120.00
Space group R-3m (No. 166, hexagonal axes)
One atom of each set of equivalent atoms:
Ta 0.0000 0.0000 0.0000 x3
Be 0.0000 0.0000 0.5000 x3
Os 0.0000 0.0000 0.2398 x6

---

# 21
Below is a PBEsol-optimized structure of Sc3As, with properties calculated at the SCAN level.

Results
* magnetic moment: 0.0 μB per formula unit
* ρ: 4.29 g/cm³
* DOS(E_F): 3.26 states/eV per cell
* E: -64.80 eV for the cell shown

Lattice parameters (Å, degrees): 3.607 4.258 5.287 90.00 90.00 90.00
Space group Pmm2 (No. 25)
One atom of each set of equivalent atoms:
Sc 0.000 0.000 0.000 x1
Sc 0.000 0.500 0.424 x1
Sc 0.500 0.500 0.867 x1
As 0.500 0.000 0.532 x1

---

# 22
Below is a PBEsol-optimized structure of ZnRe2As, with properties calculated at the SCAN level.

Results
* magnetic moment: 0.0 μB per formula unit
* ρ: 15.18 g/cm³
* DOS(E_F): 3.47 states/eV per cell
* energy above the most stable polymorph in this dataset: 172 meV/atom
* E: -174.04 eV for the cell shown

Lattice parameters (Å, degrees): 3.024 3.024 6.132 90.00 90.00 90.00
Space group P4/mmm (No. 123)
One atom of each set of equivalent atoms:
Zn 0.000 0.000 0.000 x1
Re 0.500 0.500 0.259 x2
As 0.000 0.000 0.500 x1

---

# 23
Below is a PBEsol-optimized structure of LaTeIr2O, with properties calculated at the SCAN level.

Results
* magnetic moment: 0.0 μB per formula unit
* ρ: 10.52 g/cm³
* DOS(E_F): 4.21 states/eV per cell
* formation energy (no corrections): 0.78 eV per atom
* E: -224.87 eV for the cell shown

Lattice parameters (Å, degrees): 5.110 5.110 4.033 90.00 90.00 90.00
Space group P4/mmm (No. 123)
One atom of each set of equivalent atoms:
La 0.000 0.000 0.000 x1
Te 0.500 0.500 0.500 x1
Ir 0.000 0.500 0.000 x2
O 0.000 0.000 0.500 x1